## a
! FeNi2Au2 PBE-GGA relaxed; values from VASP
! N(E_F) = 8.30 states/eV/f.u.
&SYSTEM
  ibrav = 0, nat = 5, ntyp = 3
/
ATOMIC_SPECIES
Fe 55.84 Fe.upf
Au 196.97 Au.upf
Ni 58.69 Ni.upf
ATOMIC_POSITIONS angstrom
Fe 0.000 0.000 0.000
Au 3.745 1.873 2.933
Au 1.873 3.745 2.933
Ni 3.745 3.745 4.762
Ni 1.873 1.873 1.105
CELL_PARAMETERS angstrom
3.745 0.000 0.000
0.000 3.745 0.000
1.873 1.873 5.867


## b
! FeNi2Au2 PBE-GGA relaxed; values from VASP
! N(E_F) = 3.45 states/eV/f.u.
&SYSTEM
  ibrav = 0, nat = 10, ntyp = 3
/
ATOMIC_SPECIES
Au 196.97 Au.upf
Ni 58.69 Ni.upf
Fe 55.84 Fe.upf
ATOMIC_POSITIONS angstrom
Au 4.129 5.100 1.941
Au 1.053 4.129 1.941
Au 5.100 2.023 1.941
Au 2.023 1.053 1.941
Ni 0.818 2.259 0.000
Ni 2.259 5.335 0.000
Ni 5.335 3.894 0.000
Ni 3.894 0.818 0.000
Fe 3.076 3.076 0.000
Fe 0.000 0.000 0.000
CELL_PARAMETERS angstrom
6.153 0.000 0.000
0.000 6.153 0.000
0.000 0.000 3.881


Which structure wins on stability? b wins.